# 1
# Ba2BiIO

Crystalline Ba2BiIO at its relaxed geometry (PBE, the Alexandria database).

Cell lengths 6.546, 5.783, 6.546 Å; angles 90.00, 90.00, 90.00 degrees
Sites, in units of the cell vectors:
1 I 0.000 0.000 0.000
2 Ba 0.500 0.000 0.000
3 Bi 0.000 0.500 0.000
4 Ba 0.000 0.000 0.500
5 O 0.500 0.500 0.500

Formation energy without anion corrections = 30 meV per atom

***

# 2
# Na2Mg

Crystalline Na2Mg at its relaxed geometry (PBE, the Alexandria database).

Cell lengths 5.832, 5.832, 3.387 Å; angles 90.00, 90.00, 90.00 degrees
Sites, in units of the cell vectors:
1 Mg 0.000 0.000 0.000
2 Na 0.000 0.500 0.500
3 Na 0.500 0.000 0.500

E_form = 186 meV/atom

***

# 3
# Sr2CaSb

Crystalline Sr2CaSb at its relaxed geometry (PBE, the Alexandria database).

Cell lengths 6.629, 6.629, 6.629 Å; angles 134.41, 134.41, 66.45 degrees
Sites, in units of the cell vectors:
1 Sr 0.500 0.500 0.000
2 Sb 0.750 0.250 0.500
3 Sr 0.000 0.000 0.000
4 Ca 0.250 0.750 0.500

Formation energy without anion corrections = -402 meV per atom

***

Repeat the third record exactly.
# Sr2CaSb

Crystalline Sr2CaSb at its relaxed geometry (PBE, the Alexandria database).

Cell lengths 6.629, 6.629, 6.629 Å; angles 134.41, 134.41, 66.45 degrees
Sites, in units of the cell vectors:
1 Sr 0.500 0.500 0.000
2 Sb 0.750 0.250 0.500
3 Sr 0.000 0.000 0.000
4 Ca 0.250 0.750 0.500

Formation energy without anion corrections = -402 meV per atom

***

- Which formula does entry 3 have?
  Sr2CaSb